[1]
Entry from Alexandria: an optimized crystal structure of Li2HoTm2Sn2 (PBE).

Geometry as POSCAR:
```
Li2HoTm2Sn2
1.0
2.3808 1.3746 8.6624
-2.3808 1.3746 8.6624
0.0000 -2.7492 8.6624
Li Ho Tm Sn
2 1 2 2
Direct
0.0965 0.0965 0.0965
0.9035 0.9035 0.9035
0.5000 0.5000 0.5000
0.3707 0.3707 0.3707
0.6293 0.6293 0.6293
0.2373 0.2373 0.2373
0.7627 0.7627 0.7627
```

Calculated formation energy (eV/atom): -0.4232
Magnetization (μB per cell): 0.00
Symmetry: R-3m
E_tot (eV per atom): -4.045

[2]
Entry from Alexandria: an optimized crystal structure of Li2Y2HoSn2 (PBE).

Geometry as POSCAR:
```
Li2Y2HoSn2
1.0
2.3831 1.3759 8.8618
-2.3831 1.3759 8.8618
0.0000 -2.7517 8.8618
Li Y Ho Sn
2 2 1 2
Direct
0.1009 0.1009 0.1009
0.8991 0.8991 0.8991
0.3717 0.3717 0.3717
0.6283 0.6283 0.6283
0.5000 0.5000 0.5000
0.2356 0.2356 0.2356
0.7644 0.7644 0.7644
```

Calculated formation energy (eV/atom): -0.4585
Magnetization (μB per cell): 0.00
Symmetry: R-3m
E_tot (eV per atom): -4.650

[3]
Entry from Alexandria: an optimized crystal structure of LiYHoSn (PBE).

Geometry as POSCAR:
```
LiYHoSn
1.0
7.3612 0.0000 0.0000
0.0000 7.3612 0.0000
0.0000 0.0000 7.3612
Li Y Ho Sn
4 4 4 4
Direct
0.0000 0.0000 0.0000
0.0000 0.5000 0.5000
0.5000 0.0000 0.5000
0.5000 0.5000 0.0000
0.2500 0.2500 0.2500
0.2500 0.7500 0.7500
0.7500 0.2500 0.7500
0.7500 0.7500 0.2500
0.2500 0.2500 0.7500
0.2500 0.7500 0.2500
0.7500 0.2500 0.2500
0.7500 0.7500 0.7500
0.0000 0.0000 0.5000
0.0000 0.5000 0.0000
0.5000 0.0000 0.0000
0.5000 0.5000 0.5000
```

Calculated formation energy (eV/atom): -0.4247
Magnetization (μB per cell): 0.00
Symmetry: F-43m
E_tot (eV per atom): -4.664

[4]
Entry from Alexandria: an optimized crystal structure of Sr2LiHo (PBE).

Geometry as POSCAR:
```
Sr2LiHo
1.0
4.2545 0.0000 0.0000
0.0000 4.2545 0.0000
0.0000 0.0000 8.5819
Sr Li Ho
2 1 1
Direct
0.0000 0.0000 0.2391
0.0000 0.0000 0.7609
0.5000 0.5000 0.0000
0.5000 0.5000 0.5000
```

Calculated formation energy (eV/atom): 0.1697
Magnetization (μB per cell): 0.00
Symmetry: P4/mmm
E_tot (eV per atom): -2.294
ΔE to the lowest computed polymorph (meV per atom): 0